Density functional theory data (PBE) for Pm4PrHo2Sc after structural relaxation.

```
Pm4PrHo2Sc
1.0
5.056 0.000 0.000
0.000 5.072 0.000
0.000 0.000 10.096
Pm Pr Ho Sc
4 1 2 1
Direct
0.000 0.000 0.249
0.000 0.000 0.751
0.500 0.500 0.249
0.500 0.500 0.751
0.000 0.500 0.000
0.000 0.500 0.500
0.500 0.000 0.500
0.500 0.000 0.000
```

* symmetry: No. 47
* DFT formation energy: 28 meV/atom

***

Density functional theory data (PBE) for Pm6Pr2Ho3Sc after structural relaxation.

```
Pm6Pr2Ho3Sc
1.0
3.118 -5.401 0.000
3.118 5.401 0.000
-2.084 0.000 11.719
Pm Pr Ho Sc
6 2 3 1
Direct
0.083 0.412 0.752
0.246 0.246 0.248
0.412 0.083 0.752
0.588 0.917 0.248
0.754 0.754 0.752
0.917 0.588 0.248
0.333 0.667 0.500
0.667 0.333 0.500
0.166 0.834 0.000
0.500 0.500 0.000
0.834 0.166 0.000
0.000 0.000 0.500
```

* symmetry: No. 12
* DFT formation energy: 26 meV/atom

***

Density functional theory data (PBE) for PmPrHoSc after structural relaxation.

```
PmPrHoSc
1.0
7.958 0.000 0.000
0.000 7.958 0.000
0.000 0.000 7.958
Pm Pr Ho Sc
4 4 4 4
Direct
0.000 0.000 0.000
0.000 0.500 0.500
0.500 0.000 0.500
0.500 0.500 0.000
0.000 0.000 0.500
0.000 0.500 0.000
0.500 0.000 0.000
0.500 0.500 0.500
0.250 0.250 0.750
0.250 0.750 0.250
0.750 0.250 0.250
0.750 0.750 0.750
0.250 0.250 0.250
0.250 0.750 0.750
0.750 0.250 0.750
0.750 0.750 0.250
```

* symmetry: No. 216
* DFT formation energy: 99 meV/atom

***

Density functional theory data (PBE) for Pm6PrHo2Sc after structural relaxation.

```
Pm6PrHo2Sc
1.0
4.675 -7.625 0.000
4.675 7.625 0.000
-0.808 0.000 9.309
Pm Pr Ho Sc
12 2 4 2
Direct
0.010 0.445 0.805
0.124 0.769 0.554
0.231 0.876 0.946
0.288 0.518 0.390
0.445 0.010 0.305
0.482 0.712 0.110
0.518 0.288 0.890
0.555 0.990 0.695
0.712 0.482 0.610
0.769 0.124 0.054
0.876 0.231 0.446
0.990 0.555 0.195
0.029 0.971 0.250
0.971 0.029 0.750
0.209 0.310 0.052
0.310 0.209 0.552
0.690 0.791 0.448
0.791 0.690 0.948
0.422 0.578 0.750
0.578 0.422 0.250
```

* symmetry: No. 15
* DFT formation energy: 126 meV/atom

***

Density functional theory data (PBE) for Pm4Pr2HoSc after structural relaxation.

```
Pm4Pr2HoSc
1.0
5.090 0.000 0.000
0.000 5.112 0.000
-0.012 0.000 10.164
Pm Pr Ho Sc
4 2 1 1
Direct
0.000 0.000 0.245
0.000 0.000 0.755
0.500 0.500 0.246
0.500 0.500 0.754
0.000 0.500 0.000
0.500 0.000 0.500
0.000 0.500 0.500
0.500 0.000 0.000
```

* symmetry: No. 10
* DFT formation energy: 32 meV/atom

***

Density functional theory data (PBE) for PmPr5Ho2Sc after structural relaxation.

```
PmPr5Ho2Sc
1.0
2.708 -11.010 0.000
2.708 11.010 0.000
0.000 0.000 10.357
Pm Pr Ho Sc
2 10 4 2
Direct
0.101 0.899 0.750
0.899 0.101 0.250
0.000 0.000 0.000
0.000 0.000 0.500
0.127 0.873 0.250
0.222 0.778 0.563
0.222 0.778 0.937
0.498 0.502 0.750
0.502 0.498 0.250
0.778 0.222 0.063
0.778 0.222 0.437
0.873 0.127 0.750
0.384 0.616 0.003
0.384 0.616 0.497
0.616 0.384 0.503
0.616 0.384 0.997
0.286 0.714 0.250
0.714 0.286 0.750
```

* symmetry: No. 63
* DFT formation energy: 126 meV/atom